# 1
Here is a PBEsol-optimized structure of VSbP2O8 from the Alexandria database. Energies are from SCAN.

CIF file:
```
data_VSbP2O8
_cell_length_a 4.8993
_cell_length_b 5.8106
_cell_length_c 10.9685
_cell_angle_alpha 90.00
_cell_angle_beta 99.67
_cell_angle_gamma 90.00
_symmetry_space_group_name_H-M 'P 1'
_symmetry_Int_Tables_number 1
loop_
_symmetry_equiv_pos_as_xyz
'x,y,z'
loop_
_atom_site_label
_atom_site_fract_x
_atom_site_fract_y
_atom_site_fract_z
P1 0.5719 0.2500 0.1239
P2 0.1002 0.7500 0.4255
P3 0.8998 0.2500 0.5745
P4 0.4281 0.7500 0.8761
O1 0.2277 0.9622 0.3664
O2 0.7594 0.4548 0.1904
O3 0.2406 0.5452 0.8096
O4 0.8240 0.2500 0.4345
O5 0.5615 0.2500 0.9868
O6 0.2175 0.2500 0.6128
O7 0.2277 0.5378 0.3664
O8 0.7723 0.4622 0.6336
O9 0.7825 0.7500 0.3872
O10 0.4385 0.7500 0.0132
O11 0.7078 0.7500 0.8327
O12 0.2922 0.2500 0.1673
O13 0.1760 0.7500 0.5655
O14 0.2406 0.9548 0.8096
O15 0.7594 0.0452 0.1904
O16 0.7723 0.0378 0.6336
V1 0.9458 0.7500 0.6967
V2 0.0542 0.2500 0.3033
Sb1 0.4928 0.2500 0.7755
Sb2 0.5072 0.7500 0.2245
```

Output
- Calculated total energy: -12.708 eV/atom
- Formation energy from raw total energies: -2.259 eV per atom
- Space group: P2_1/m, No. 11

# 2
Here is a PBEsol-optimized structure of Ba2CdFe from the Alexandria database. Energies are from SCAN.

CIF file:
```
data_Ba2CdFe
_cell_length_a 3.8161
_cell_length_b 5.5821
_cell_length_c 6.7147
_cell_angle_alpha 114.56
_cell_angle_beta 106.51
_cell_angle_gamma 90.00
_symmetry_space_group_name_H-M 'P 1'
_symmetry_Int_Tables_number 1
loop_
_symmetry_equiv_pos_as_xyz
'x,y,z'
loop_
_atom_site_label
_atom_site_fract_x
_atom_site_fract_y
_atom_site_fract_z
Ba1 0.9628 0.9628 0.9257
Ba2 0.7707 0.2707 0.5415
Cd1 0.5541 0.5541 0.1082
Fe1 0.2123 0.7123 0.4246
```

Output
- Calculated total energy: -31.690 eV/atom
- Formation energy from the elements: 0.221 eV/atom
- Space group: Imm2, No. 44

# 3
Here is a PBEsol-optimized structure of Li3Au from the Alexandria database. Energies are from SCAN.

CIF file:
```
data_Li3Au
_cell_length_a 3.2393
_cell_length_b 3.2393
_cell_length_c 6.1027
_cell_angle_alpha 90.00
_cell_angle_beta 90.00
_cell_angle_gamma 90.00
_symmetry_space_group_name_H-M 'P 1'
_symmetry_Int_Tables_number 1
loop_
_symmetry_equiv_pos_as_xyz
'x,y,z'
loop_
_atom_site_label
_atom_site_fract_x
_atom_site_fract_y
_atom_site_fract_z
Li1 0.5000 0.5000 0.2170
Li2 0.5000 0.5000 0.7830
Li3 0.0000 0.0000 0.5000
Au1 0.0000 0.0000 0.0000
```

Output
- Calculated total energy: -19.472 eV/atom
- Formation energy from the elements: -0.390 eV/atom
- Space group: P4/mmm, No. 123